Version i
This record from Alexandria via LeMat-Bulk describes a relaxed NaMg2Nb crystal. The functional is GGA-PBE.

```
data_NaMg2Nb
_chemical_formula_sum 'Na4 Mg8 Nb4'
_space_group_name_H-M_alt 'F m -3 m'
_space_group_IT_number 225
_space_group_name_Hall '-F 4 2 3'
_cell_length_a 7.037
_cell_length_b 7.037
_cell_length_c 7.037
_cell_angle_alpha 90.00
_cell_angle_beta 90.00
_cell_angle_gamma 90.00
loop_
_atom_site_label
_atom_site_fract_x
_atom_site_fract_y
_atom_site_fract_z
Na1 0.000 0.000 0.000
Mg1 0.250 0.250 0.250
Nb1 0.000 0.000 0.500
```

## Properties
Mass density ... 3.135 g/cm³
Total moment ... 0.01 μB/cell

=====

Version ii
This record from Alexandria via LeMat-Bulk describes a relaxed NaMg2Nb crystal. The functional is GGA-PBE.

```
data_NaMg2Nb
_chemical_formula_sum 'Na4 Mg8 Nb4'
_space_group_name_H-M_alt 'I -4 2 d'
_space_group_IT_number 122
_space_group_name_Hall 'I -4 2bw'
_cell_length_a 7.863
_cell_length_b 7.863
_cell_length_c 6.143
_cell_angle_alpha 90.00
_cell_angle_beta 90.00
_cell_angle_gamma 90.00
loop_
_atom_site_label
_atom_site_fract_x
_atom_site_fract_y
_atom_site_fract_z
Na1 0.000 0.000 0.000
Mg1 0.248 0.250 0.125
Nb1 0.000 0.000 0.500
```

## Properties
Mass density ... 2.877 g/cm³
Total moment ... 10.45 μB/cell

=====

version i comes first in stability; the runner-up is 234 meV/atom higher.

=====

Version i
This record from Alexandria via LeMat-Bulk describes a relaxed NaNd2Mg crystal. The functional is GGA-PBE.

```
data_NaNd2Mg
_chemical_formula_sum 'Na1 Nd2 Mg1'
_space_group_name_H-M_alt 'P 4/m m m'
_space_group_IT_number 123
_space_group_name_Hall '-P 4 2'
_cell_length_a 5.644
_cell_length_b 5.644
_cell_length_c 3.945
_cell_angle_alpha 90.00
_cell_angle_beta 90.00
_cell_angle_gamma 90.00
loop_
_atom_site_label
_atom_site_fract_x
_atom_site_fract_y
_atom_site_fract_z
Na1 0.000 0.000 0.000
Nd1 0.000 0.500 0.500
Mg1 0.500 0.500 0.000
```

## Properties
Mass density ... 4.437 g/cm³
Total moment ... 0.00 μB/cell

=====

Version ii
This record from Alexandria via LeMat-Bulk describes a relaxed NaNd2Mg crystal. The functional is GGA-PBE.

```
data_NaNd2Mg
_chemical_formula_sum 'Na3 Nd6 Mg3'
_space_group_name_H-M_alt 'R -3 m'
_space_group_IT_number 166
_space_group_name_Hall '-R 3 2"'
_cell_length_a 3.5116
_cell_length_b 3.5116
_cell_length_c 37.8225
_cell_angle_alpha 90.00
_cell_angle_beta 90.00
_cell_angle_gamma 120.00
loop_
_atom_site_label
_atom_site_fract_x
_atom_site_fract_y
_atom_site_fract_z
Na1 0.0000 0.0000 0.0000
Nd1 0.0000 0.0000 0.0951
Mg1 0.0000 0.0000 0.5000
```

## Properties
Mass density ... 4.141 g/cm³
Total moment ... 0.00 μB/cell

=====

Version iii
This record from Alexandria via LeMat-Bulk describes a relaxed NaNd2Mg crystal. The functional is GGA-PBE.

```
data_NaNd2Mg
_chemical_formula_sum 'Na1 Nd2 Mg1'
_space_group_name_H-M_alt 'P 4/m m m'
_space_group_IT_number 123
_space_group_name_Hall '-P 4 2'
_cell_length_a 3.902
_cell_length_b 3.902
_cell_length_c 8.498
_cell_angle_alpha 90.00
_cell_angle_beta 90.00
_cell_angle_gamma 90.00
loop_
_atom_site_label
_atom_site_fract_x
_atom_site_fract_y
_atom_site_fract_z
Na1 0.000 0.000 0.000
Nd1 0.500 0.500 0.282
Mg1 0.000 0.000 0.500
```

## Properties
Mass density ... 4.309 g/cm³
Total moment ... 0.00 μB/cell

=====

version iii comes first in stability; the runner-up is 43 meV/atom higher.